VASP calculation (PBEsol) on crystalline SiNiPb2 at its relaxed geometry.

The uncorrected formation energy comes out at -0.08 eV per atom. As for the space group: No. 160. For the total magnetic moment, the calculation gives 0.0000 μB/atom. The value obtained for the energy above the most stable polymorph in this dataset is 0.000 eV/atom.

Geometry as POSCAR:
```
SiNiPb2
1.0
1.982 1.145 6.513
-1.982 1.145 6.513
0.000 -2.289 6.513
Si Ni Pb
1 1 2
Direct
0.000 0.000 0.000 Si
0.668 0.668 0.668 Ni
0.240 0.240 0.240 Pb
0.428 0.428 0.428 Pb
```